Computed, not measured: crystalline NiCO4 at its relaxed geometry at the GGA+U level of DFT.

Properties
The space group is P2_1/c (14). The value obtained for the volume is 263 Å³ per cell. For the total DFT energy (no corrections), the calculation gives -6.25 eV/atom.

a = 3.1243 Å, b = 9.0847 Å, c = 9.2677 Å
α = 90.00°, β = 90.91°, γ = 90.00°
Fractional coordinates of all 24 atoms:
Ni  0.1161  0.1757  0.1280
Ni  0.1161  0.3243  0.6280
Ni  0.8839  0.6757  0.3720
Ni  0.8839  0.8243  0.8720
C  0.3050  0.6465  0.6527
C  0.3050  0.8535  0.1527
C  0.6950  0.1465  0.8473
C  0.6950  0.3535  0.3473
O  0.0927  0.0594  0.4956
O  0.0927  0.4406  0.9956
O  0.1351  0.5304  0.7007
O  0.1351  0.9696  0.2007
O  0.3733  0.7414  0.2398
O  0.3733  0.7586  0.7398
O  0.3868  0.6639  0.5149
O  0.3868  0.8361  0.0149
O  0.6132  0.1639  0.9851
O  0.6132  0.3361  0.4851
O  0.6267  0.2414  0.2602
O  0.6267  0.2586  0.7602
O  0.8649  0.0304  0.7993
O  0.8649  0.4696  0.2993
O  0.9073  0.5594  0.0044
O  0.9073  0.9406  0.5044